1.
Computed, not measured: a relaxed structure of SiAg at the PBE-GGA level of DFT.

Lattice parameters (Å, degrees): 4.590 3.074 5.081 90.00 111.76 90.00
Fractional coordinates of all 4 atoms:
Ag (0.500, 0.000, 0.000)
Ag (0.500, 0.500, 0.500)
Si (0.000, 0.500, 0.000)
Si (0.000, 0.000, 0.500)

Its excess energy over the best structure of this formula in the dataset is 117.6 meV/atom. The crystal system is monoclinic. As for the density of states at the Fermi level: 1.0 states/eV per cell. Its volume is 16.64 Å³ per atom. The total energy comes out at -7.6 eV per formula unit.

2.
Computed, not measured: a relaxed structure of SiAg at the PBE-GGA level of DFT.

Lattice parameters (Å, degrees): 4.752 4.752 7.618 90.00 90.00 120.00
Fractional coordinates of all 8 atoms:
Ag (0.667, 0.333, 0.250)
Ag (0.000, 0.000, 0.250)
Ag (0.333, 0.667, 0.750)
Ag (0.000, 0.000, 0.750)
Si (0.667, 0.333, 0.908)
Si (0.667, 0.333, 0.592)
Si (0.333, 0.667, 0.092)
Si (0.333, 0.667, 0.408)

Its excess energy over the best structure of this formula in the dataset is 303.0 meV/atom. The crystal system is hexagonal. As for the density of states at the Fermi level: 3.8 states/eV per cell. Its volume is 18.62 Å³ per atom. The total energy comes out at -7.2 eV per formula unit.

3.
Computed, not measured: a relaxed structure of Si3Ag at the PBE-GGA level of DFT.

Lattice parameters (Å, degrees): 2.817 2.817 9.150 90.00 90.00 120.00
Fractional coordinates of all 4 atoms:
Si (0.667, 0.333, 0.268)
Si (0.000, 0.000, 0.500)
Si (0.667, 0.333, 0.732)
Ag (0.000, 0.000, 0.000)

Its excess energy over the best structure of this formula in the dataset is 194.7 meV/atom. The crystal system is hexagonal. As for the density of states at the Fermi level: 2.4 states/eV per cell. Its volume is 15.72 Å³ per atom. The total energy comes out at -17.2 eV per formula unit.

4.
Computed, not measured: a relaxed structure of SiAg3 at the PBE-GGA level of DFT.

Lattice parameters (Å, degrees): 3.304 3.304 6.357 90.00 90.00 90.00
Fractional coordinates of all 4 atoms:
Si (0.500, 0.500, 0.750)
Ag (0.000, 0.000, 0.984)
Ag (0.000, 0.000, 0.516)
Ag (0.500, 0.500, 0.250)

The crystal system is tetragonal. As for the density of states at the Fermi level: 1.0 states/eV per cell. Its volume is 17.35 Å³ per atom. The total energy comes out at -13.2 eV per formula unit.

5.
Computed, not measured: a relaxed structure of SiAg at the PBE-GGA level of DFT.

Lattice parameters (Å, degrees): 2.868 2.868 8.033 90.00 90.00 90.00
Fractional coordinates of all 4 atoms:
Ag (0.750, 0.750, 0.862)
Ag (0.250, 0.250, 0.138)
Si (0.750, 0.750, 0.388)
Si (0.250, 0.250, 0.612)

Its excess energy over the best structure of this formula in the dataset is 114.2 meV/atom. The crystal system is tetragonal. As for the density of states at the Fermi level: 1.5 states/eV per cell. Its volume is 16.52 Å³ per atom. The total energy comes out at -7.6 eV per formula unit.

6.
Computed, not measured: a relaxed structure of SiAg3 at the PBE-GGA level of DFT.

Lattice parameters (Å, degrees): 5.000 5.000 5.074 78.19 78.19 33.67
Fractional coordinates of all 4 atoms:
Ag (0.500, 0.500, 0.500)
Ag (0.738, 0.738, 0.760)
Ag (0.262, 0.262, 0.240)
Si (0.000, 0.000, 0.000)

The crystal system is monoclinic. As for the density of states at the Fermi level: 1.1 states/eV per cell. Its volume is 17.18 Å³ per atom. The total energy comes out at -13.2 eV per formula unit.